P | The following is a DFT calculation (PBE) of a geometry-optimized KTlCdIn2 structure.

Geometry as POSCAR:
```
KTlCdIn2
1.0
-1.976 1.967 -4.105
-4.372 -2.051 1.122
1.539 5.351 4.822
In K Tl Cd
2 1 1 1
direct
0.053 0.053 0.106
0.693 0.193 0.385
0.440 0.440 0.879
0.195 0.695 0.391
0.831 0.831 0.663
```

Q | The following is a DFT calculation (PBE) of a geometry-optimized KTlCdIn2 structure.

Geometry as POSCAR:
```
KTlCdIn2
1.0
-4.223 -3.129 -2.657
1.162 -4.495 3.447
-3.931 1.983 3.912
K In Cd Tl
1 2 1 1
direct
0.500 0.500 0.500
0.000 0.000 0.500
0.500 0.000 0.000
0.000 0.500 0.000
0.000 0.000 0.000
```

Most stable to least stable: P, Q

P | The following is a DFT calculation (PBE) of a geometry-optimized KZnCdIn structure.

Geometry as POSCAR:
```
KZnCdIn
1.0
4.849 0.012 0.018
-0.307 5.068 -0.036
-1.992 -1.681 5.011
Cd Zn K In
1 1 1 1
direct
0.889 0.307 0.945
0.292 0.073 0.736
0.568 0.867 0.261
0.167 0.510 0.559
```

Q | The following is a DFT calculation (PBE) of a geometry-optimized KZnCdIn structure.

Geometry as POSCAR:
```
KZnCdIn
1.0
3.663 0.006 -0.005
0.001 5.383 -0.024
-1.800 -1.259 5.811
Zn Cd K In
1 1 1 1
direct
0.288 0.278 0.429
0.656 0.946 0.160
0.027 0.389 0.907
0.369 0.802 0.588
```

Most stable to least stable: P, Q

P | The following is a DFT calculation (PBE) of a geometry-optimized KZnCdIn structure.

Geometry as POSCAR:
```
KZnCdIn
1.0
-6.814 -0.288 -0.014
0.127 -3.182 3.548
3.167 5.864 5.146
Zn Cd K In
2 2 2 2
direct
0.951 0.000 0.294
0.951 0.500 0.794
0.111 0.000 0.683
0.111 0.500 0.183
0.514 0.000 0.485
0.514 0.500 0.985
0.924 0.500 0.453
0.924 0.000 0.953
```

Q | The following is a DFT calculation (PBE) of a geometry-optimized KZnCdIn structure.

Geometry as POSCAR:
```
KZnCdIn
1.0
-0.453 2.740 1.904
-3.393 -1.403 1.213
3.911 -3.856 6.479
In Zn K Cd
1 1 1 1
direct
0.000 0.000 0.991
0.000 0.000 0.604
0.500 0.500 0.314
0.500 0.500 0.762
```

Most stable to least stable: P, Q

P | The following is a DFT calculation (PBE) of a geometry-optimized KZnCdIn structure.

Geometry as POSCAR:
```
KZnCdIn
1.0
-1.038 -3.087 1.619
0.262 -1.956 -3.565
7.610 -1.760 1.524
Zn Cd In K
1 1 1 1
direct
0.522 0.500 0.889
0.521 0.500 0.513
0.020 0.000 0.740
0.022 0.000 0.200
```

Q | The following is a DFT calculation (PBE) of a geometry-optimized KZnCdIn structure.

Geometry as POSCAR:
```
KZnCdIn
1.0
3.451 0.007 -0.038
-0.009 5.725 -0.020
-1.685 -2.831 5.646
Zn In K Cd
1 1 1 1
direct
0.188 0.000 0.789
0.899 0.208 0.206
0.687 0.499 0.788
0.482 0.794 0.376
```

R | The following is a DFT calculation (PBE) of a geometry-optimized KZnCdIn structure.

Geometry as POSCAR:
```
KZnCdIn
1.0
5.336 0.000 0.000
2.668 4.621 0.000
2.668 1.540 4.357
Zn Cd In K
1 1 1 1
direct
0.250 0.250 0.250
0.750 0.750 0.750
0.000 0.000 0.000
0.500 0.500 0.500
```

S | The following is a DFT calculation (PBE) of a geometry-optimized KZnCdIn structure.

Geometry as POSCAR:
```
KZnCdIn
1.0
4.787 0.000 0.000
-2.393 4.145 0.000
0.000 0.000 18.976
In Cd Zn K
3 3 3 3
direct
0.000 0.000 0.754
0.667 0.333 0.088
0.333 0.667 0.421
0.000 0.000 0.483
0.667 0.333 0.816
0.333 0.667 0.150
0.333 0.667 0.812
0.667 0.333 0.478
0.000 0.000 0.145
0.000 0.000 0.954
0.667 0.333 0.288
0.333 0.667 0.621
```

Most stable to least stable: S, P, Q, R

P | The following is a DFT calculation (PBE) of a geometry-optimized LaCd3In structure.

Geometry as POSCAR:
```
LaCd3In
1.0
6.677 0.002 0.000
-0.001 6.650 0.000
0.000 0.000 6.223
Cd In La
6 2 2
direct
0.565 0.982 0.449
0.738 0.328 0.201
0.909 0.827 0.701
0.082 0.482 0.453
0.565 0.982 0.953
0.082 0.482 0.949
0.212 0.125 0.701
0.435 0.625 0.201
0.581 0.462 0.701
0.066 0.961 0.201
```

Q | The following is a DFT calculation (PBE) of a geometry-optimized LaCd3In structure.

Geometry as POSCAR:
```
LaCd3In
1.0
6.124 0.000 0.000
0.000 6.124 0.000
0.000 0.000 6.124
Cd La In
3 1 1
direct
0.000 0.000 0.500
0.000 0.500 0.000
0.500 0.000 0.000
0.000 0.000 0.000
0.500 0.500 0.500
```

R | The following is a DFT calculation (PBE) of a geometry-optimized LaCd3In structure.

Geometry as POSCAR:
```
LaCd3In
1.0
-4.069 -2.808 -2.106
1.400 -4.255 2.969
-3.219 1.699 3.953
Cd In La
3 1 1
direct
0.500 0.000 0.000
0.000 0.000 0.500
0.000 0.500 0.000
0.000 0.000 0.000
0.500 0.500 0.500
```

Most stable to least stable: P, R, Q

P | The following is a DFT calculation (PBE) of a geometry-optimized LaCdIn3 structure.

Geometry as POSCAR:
```
LaCdIn3
1.0
4.689 0.000 0.000
0.000 7.573 0.000
0.000 0.000 7.838
In La Cd
6 2 2
direct
0.500 0.197 0.716
0.500 0.803 0.716
0.000 0.303 0.284
0.000 0.697 0.284
0.500 0.500 0.103
0.000 0.000 0.897
0.500 0.000 0.184
0.000 0.500 0.816
0.500 0.500 0.483
0.000 0.000 0.517
```

Q | The following is a DFT calculation (PBE) of a geometry-optimized LaCdIn3 structure.

Geometry as POSCAR:
```
LaCdIn3
1.0
5.419 0.000 0.000
0.000 5.419 0.000
0.000 0.000 5.419
In La Cd
3 1 1
direct
0.500 0.000 0.000
0.000 0.500 0.000
0.000 0.000 0.500
0.500 0.500 0.500
0.000 0.000 0.000
```

Most stable to least stable: P, Q

P | The following is a DFT calculation (PBE) of a geometry-optimized LaCdIn3 structure.

Geometry as POSCAR:
```
LaCdIn3
1.0
6.272 0.000 0.000
0.000 7.203 -0.001
0.000 -3.600 6.238
Cd La In
2 2 6
direct
0.500 0.000 0.000
0.000 0.000 0.000
0.250 0.334 0.666
0.750 0.666 0.334
0.750 0.197 0.803
0.250 0.394 0.197
0.750 0.606 0.803
0.250 0.803 0.197
0.750 0.197 0.394
0.250 0.803 0.606
```

Q | The following is a DFT calculation (PBE) of a geometry-optimized LaCdIn3 structure.

Geometry as POSCAR:
```
LaCdIn3
1.0
-3.922 4.747 -0.479
-1.096 -0.293 6.071
4.644 3.940 1.029
In Cd La
3 1 1
direct
0.000 0.500 0.000
0.500 0.000 0.000
0.000 0.000 0.500
0.500 0.500 0.500
0.000 0.000 0.000
```

Most stable to least stable: P, Q

P | The following is a DFT calculation (PBE) of a geometry-optimized La6CdIn2 structure.

Geometry as POSCAR:
```
La6CdIn2
1.0
5.630 0.000 0.314
0.000 9.845 0.000
-0.562 0.000 10.192
La Cd In
12 2 4
direct
0.500 0.505 0.320
0.499 0.167 0.900
0.999 0.333 0.400
0.000 0.995 0.820
0.500 0.836 0.399
0.000 0.005 0.180
0.500 0.164 0.601
0.501 0.833 0.100
0.001 0.667 0.600
0.000 0.336 0.101
0.000 0.664 0.899
0.500 0.495 0.680
0.000 0.000 0.500
0.500 0.500 0.000
0.000 0.329 0.754
0.500 0.171 0.254
0.500 0.829 0.746
0.000 0.671 0.246
```

Q | The following is a DFT calculation (PBE) of a geometry-optimized La6CdIn2 structure.

Geometry as POSCAR:
```
La6CdIn2
1.0
-0.995 -1.645 2.706
7.738 -5.720 -0.631
0.440 8.159 5.121
In La Cd
2 6 1
direct
0.000 0.333 0.667
0.000 0.667 0.333
0.500 0.335 0.335
0.500 0.000 0.665
0.500 0.665 0.000
0.500 0.335 0.000
0.500 0.665 0.665
0.500 0.000 0.335
0.000 0.000 0.000
```

Most stable to least stable: P, Q